First-principles (PBE-GGA) data for a relaxed structure of Sm12Tl3Sn, as listed in the Alexandria database.

As for the formation energy: -262.0 meV/atom. As for the crystal system: tetragonal.

The space group is P4/mmm (No. 123) and the conventional cell measures 4.926, 4.926 and 19.725 Å, with angles of 90.00, 90.00 and 90.00 degrees. The asymmetric unit holds Sm at (0.000, 0.000, 0.000), Sm at (0.000, 0.000, 0.248), Sm at (0.000, 0.000, 0.500), Sm at (0.000, 0.500, 0.122), Sm at (0.000, 0.500, 0.374), Tl at (0.500, 0.500, 0.250), Tl at (0.500, 0.500, 0.500) and Sn at (0.500, 0.500, 0.000).

=====

First-principles (PBE-GGA) data for a relaxed structure of YCoPt, as listed in the Alexandria database.

As for the formation energy: -341.1 meV/atom. As for the crystal system: tetragonal.

The space group is I4mm (No. 107) and the conventional cell measures 3.428, 3.428 and 9.399 Å, with angles of 90.00, 90.00 and 90.00 degrees. The asymmetric unit holds Y at (0.000, 0.000, 0.000), Co at (0.000, 0.000, 0.696) and Pt at (0.000, 0.000, 0.312).

=====

> Which formula does entry 1 have?

Sm12Tl3Sn